1.
Compound: SmEr2Hg6
Source: the Alexandria database
Functional: PBE
Structure: optimized geometry

The crystal system is tetragonal. The value obtained for the formation energy is -0.157 eV per atom. The calculation puts the magnetic moment at 0.000 μB/cell. As for the offset from the most stable computed form: 0.234 eV per atom.

a = 4.502 Å, b = 4.502 Å, c = 25.718 Å
α = 90.00°, β = 90.00°, γ = 90.00°
Space group I4/mmm (No. 139)
Unique sites:
Sm 0.000 0.000 0.000
Er 0.000 0.000 0.332
Hg 0.000 0.500 0.087
Hg 0.000 0.500 0.250

***

2.
Compound: Sm4Er9Hg11
Source: the Alexandria database
Functional: PBE
Structure: optimized geometry

The crystal system is orthorhombic. The value obtained for the formation energy is -0.365 eV per atom. The calculation puts the magnetic moment at 2.067 μB/cell.

a = 15.864 Å, b = 22.298 Å, c = 3.546 Å
α = 90.00°, β = 90.00°, γ = 90.00°
Space group Cmmm (No. 65)
Unique sites:
Sm 0.163 0.084 0.000
Er 0.000 0.000 0.000
Er 0.111 0.407 0.000
Er 0.116 0.234 0.000
Hg 0.000 0.132 0.500
Hg 0.000 0.319 0.500
Hg 0.000 0.500 0.500
Hg 0.212 0.500 0.500
Hg 0.230 0.321 0.500

***

3.
Compound: Sm3ErHg4
Source: the Alexandria database
Functional: PBE
Structure: optimized geometry

The crystal system is orthorhombic. The value obtained for the formation energy is -0.329 eV per atom. The calculation puts the magnetic moment at 0.000 μB/cell. As for the offset from the most stable computed form: 0.144 eV per atom.

a = 3.779 Å, b = 7.578 Å, c = 16.333 Å
α = 90.00°, β = 90.00°, γ = 90.00°
Space group Immm (No. 71)
Unique sites:
Sm 0.000 0.000 0.000
Sm 0.000 0.500 0.203
Er 0.000 0.000 0.500
Hg 0.000 0.294 0.371

***

4.
Compound: Sm6ErHg5
Source: the Alexandria database
Functional: PBE
Structure: optimized geometry

The crystal system is orthorhombic. The value obtained for the formation energy is -0.348 eV per atom. The calculation puts the magnetic moment at 0.018 μB/cell.

a = 5.262 Å, b = 7.900 Å, c = 16.165 Å
α = 90.00°, β = 90.00°, γ = 90.00°
Space group Immm (No. 71)
Unique sites:
Sm 0.000 0.226 0.000
Sm 0.000 0.255 0.328
Er 0.000 0.000 0.500
Hg 0.000 0.000 0.171
Hg 0.000 0.500 0.146
Hg 0.000 0.500 0.500

***

5.
Compound: Sm3ErHg
Source: the Alexandria database
Functional: PBE
Structure: optimized geometry

The crystal system is monoclinic. The value obtained for the formation energy is -0.102 eV per atom. The calculation puts the magnetic moment at 0.000 μB/cell. As for the offset from the most stable computed form: 0.000 eV per atom.

a = 11.348 Å, b = 7.513 Å, c = 8.002 Å
α = 90.00°, β = 111.01°, γ = 90.00°
Space group C2/m (No. 12)
Unique sites:
Sm 0.056 0.000 0.236
Sm 0.161 0.252 0.644
Er 0.061 0.500 0.242
Hg 0.239 0.500 0.001

***

6.
Compound: Sm2ErHg6
Source: the Alexandria database
Functional: PBE
Structure: optimized geometry

The crystal system is monoclinic. The value obtained for the formation energy is -0.402 eV per atom. The calculation puts the magnetic moment at 0.000 μB/cell.

a = 14.516 Å, b = 11.810 Å, c = 5.469 Å
α = 90.00°, β = 99.99°, γ = 90.00°
Space group C2/c (No. 15)
Unique sites:
Sm 0.167 0.126 0.083
Er 0.000 0.376 0.250
Hg 0.056 0.128 0.529
Hg 0.109 0.377 0.804
Hg 0.218 0.376 0.362

***

7.
Compound: Sm3Er3Hg2
Source: the Alexandria database
Functional: PBE
Structure: optimized geometry

The crystal system is orthorhombic. The value obtained for the formation energy is -0.178 eV per atom. The calculation puts the magnetic moment at 0.000 μB/cell.

a = 5.166 Å, b = 11.717 Å, c = 15.881 Å
α = 90.00°, β = 90.00°, γ = 90.00°
Space group Cmcm (No. 63)
Unique sites:
Sm 0.000 0.040 0.108
Sm 0.000 0.284 0.250
Er 0.000 0.358 0.035
Er 0.000 0.429 0.750
Hg 0.000 0.232 0.626

***

8.
Compound: Sm4ErHg5
Source: the Alexandria database
Functional: PBE
Structure: optimized geometry

The crystal system is tetragonal. The value obtained for the formation energy is -0.472 eV per atom. The calculation puts the magnetic moment at 1.678 μB/cell.

a = 3.765 Å, b = 3.765 Å, c = 18.963 Å
α = 90.00°, β = 90.00°, γ = 90.00°
Space group P4/mmm (No. 123)
Unique sites:
Sm 0.000 0.000 0.101
Sm 0.000 0.000 0.303
Er 0.000 0.000 0.500
Hg 0.500 0.500 0.000
Hg 0.500 0.500 0.202
Hg 0.500 0.500 0.407

***

- What is the magnetic moment in the second record?
  2.067 μB/cell

***

- Which value of formation energy does entry 1 give?
  -0.157 eV per atom